Computed, not measured: a relaxed Tb2Tm3Se6 crystal at the PBE level of DFT.

## Properties
The magnetic moment comes out at 0.000 μB per formula unit. The value obtained for the formation energy (no corrections) is -1951 kJ/mol of formula units.

Unit cell a=6.9731 b=6.9731 c=6.9895 alpha=99.63 beta=99.63 gamma=119.74
Last column: nearest neighbours and their distance in Å.
Fractional coordinates of all 11 atoms:
Tb 0.1648 0.8352 0.0000  6 Se 2.86-2.89
Tb 0.8352 0.1648 0.0000  6 Se 2.86-2.89
Tm 0.0000 0.0000 0.5000  6 Se 2.82-2.90
Tm 0.3339 0.6661 0.5000  6 Se 2.82-2.88
Tm 0.6661 0.3339 0.5000  6 Se 2.82-2.88
Se 0.0883 0.4160 0.7469  3 Tm 2.82-2.88, 2 Tb 2.89
Se 0.2577 0.2577 0.2504  3 Tm 2.82-2.90, 2 Tb 2.86
Se 0.4160 0.0883 0.7469  3 Tm 2.82-2.88, 2 Tb 2.89
Se 0.5840 0.9117 0.2531  3 Tm 2.82-2.88, 2 Tb 2.89
Se 0.7423 0.7423 0.7496  3 Tm 2.82-2.90, 2 Tb 2.86
Se 0.9117 0.5840 0.2531  3 Tm 2.82-2.88, 2 Tb 2.89